UB4Ir5: optimized geometry, PBE.

Computed properties:
The value obtained for the formation energy is -16.0 kJ per mole of atoms.

Cell: 5.4441 6.8876 6.8876 Å, 90.00 90.00 90.00°
Last column: magnetic moment on the atom in μB.
Sites, in units of the cell vectors:
Ir: 0.2694 0.7900 0.7100  -0.03
Ir: 0.7306 0.7100 0.7900  -0.03
Ir: 0.7306 0.2900 0.2100  -0.03
Ir: 0.8961 0.0000 0.5000  0.00
Ir: 0.2694 0.2100 0.7100  -0.03
Ir: 0.1039 0.5000 0.0000  0.00
Ir: 0.7306 0.2900 0.7900  -0.03
Ir: 0.2694 0.2100 0.2900  -0.03
Ir: 0.7306 0.7100 0.2100  -0.03
Ir: 0.2694 0.7900 0.2900  -0.03
U: 0.0000 0.0000 0.0000  0.78
U: 0.0000 0.5000 0.5000  0.78
B: 0.5922 0.0000 0.2908  0.00
B: 0.5922 0.0000 0.7092  0.00
B: 0.4078 0.5000 0.7908  0.00
B: 0.4078 0.2908 0.0000  0.00
B: 0.5922 0.7908 0.5000  0.00
B: 0.4078 0.7092 0.0000  0.00
B: 0.5922 0.2092 0.5000  0.00
B: 0.4078 0.5000 0.2092  0.00

=====

U3B7Ir: optimized geometry, PBE.

Computed properties:
The value obtained for the formation energy is -34.5 kJ per mole of atoms.

Cell: 3.4274 8.0344 9.3897 Å, 90.00 90.00 102.32°
Last column: magnetic moment on the atom in μB.
Sites, in units of the cell vectors:
U: 0.2573 0.5145 0.7500  1.69
U: 0.8920 0.7841 0.9348  1.47
U: 0.7427 0.4855 0.2500  1.69
U: 0.1080 0.2159 0.0652  1.47
U: 0.8920 0.7841 0.5652  1.47
U: 0.1080 0.2159 0.4348  1.47
B: 0.2737 0.5473 0.4678  -0.03
B: 0.5209 0.0419 0.9114  -0.01
B: 0.6366 0.2732 0.8492  0.00
B: 0.7263 0.4527 0.9678  -0.03
B: 0.4791 0.9581 0.0886  -0.01
B: 0.3634 0.7268 0.3492  0.00
B: 0.4791 0.9581 0.4114  -0.01
B: 0.6366 0.2732 0.6508  0.00
B: 0.4585 0.9171 0.7500  -0.02
B: 0.5415 0.0829 0.2500  -0.02
B: 0.5209 0.0419 0.5886  -0.01
B: 0.3634 0.7268 0.1508  0.00
B: 0.2737 0.5473 0.0322  -0.03
B: 0.7263 0.4527 0.5322  -0.03
Ir: 0.9424 0.8848 0.2500  0.02
Ir: 0.0576 0.1152 0.7500  0.02

=====

UB3Ir3: optimized geometry, PBE.

Computed properties:
The value obtained for the formation energy is -12.3 kJ per mole of atoms.

Cell: 5.8916 5.8916 5.8916 Å, 90.00 90.00 90.00°
Last column: magnetic moment on the atom in μB.
Sites, in units of the cell vectors:
Ir: 0.5000 0.0000 0.2500  0.05
Ir: 0.2500 0.5000 0.0000  0.05
Ir: 0.5000 0.0000 0.7500  0.05
Ir: 0.0000 0.7500 0.5000  0.05
Ir: 0.7500 0.5000 0.0000  0.05
Ir: 0.0000 0.2500 0.5000  0.05
U: 0.0000 0.0000 0.0000  2.57
U: 0.5000 0.5000 0.5000  2.57
B: 0.7500 0.0000 0.5000  0.01
B: 0.0000 0.5000 0.2500  0.01
B: 0.0000 0.5000 0.7500  0.01
B: 0.5000 0.2500 0.0000  0.01
B: 0.5000 0.7500 0.0000  0.01
B: 0.2500 0.0000 0.5000  0.01

=====

UB3Ir6: optimized geometry, PBE.

Computed properties:
The value obtained for the formation energy is -28.0 kJ per mole of atoms.

Cell: 5.4031 5.4051 6.2466 Å, 89.98 115.56 120.01°
Last column: magnetic moment on the atom in μB.
Sites, in units of the cell vectors:
B: 0.3154 0.6576 0.9729  0.00
B: 0.2546 0.1279 0.3818  0.00
B: 0.6473 0.3238 0.9709  0.00
U: 0.9375 0.9680 0.9063  0.17
Ir: 0.2897 0.3954 0.6848  -0.01
Ir: 0.7470 0.0818 0.2377  -0.01
Ir: 0.7914 0.3955 0.6852  -0.01
Ir: 0.5713 0.4898 0.2376  -0.01
Ir: 0.1555 0.6659 0.2378  -0.01
Ir: 0.2902 0.8943 0.6852  -0.01

=====

UBIr: optimized geometry, PBE.

Computed properties:
The value obtained for the formation energy is -4.6 kJ per mole of atoms.

Cell: 5.2294 6.4415 4.0866 Å, 90.00 129.78 90.00°
Last column: magnetic moment on the atom in μB.
Sites, in units of the cell vectors:
U: 0.6697 0.7500 0.3395  1.10
U: 0.3303 0.2500 0.6605  1.10
B: 0.0000 0.5000 0.0000  0.02
B: 0.0000 0.0000 0.0000  0.02
Ir: 0.1957 0.7500 0.3914  -0.05
Ir: 0.8043 0.2500 0.6086  -0.05

=====

UB3Ir3: optimized geometry, PBE.

Computed properties:
The value obtained for the formation energy is -27.1 kJ per mole of atoms.

Cell: 3.6466 7.7849 7.7850 Å, 120.00 90.00 90.00°
Last column: magnetic moment on the atom in μB.
Sites, in units of the cell vectors:
Ir: 0.2500 0.6593 0.7308  -0.01
Ir: 0.7500 0.7308 0.0715  -0.01
Ir: 0.7500 0.9285 0.6593  -0.01
Ir: 0.2500 0.0715 0.3407  -0.01
Ir: 0.2500 0.2692 0.9285  -0.01
Ir: 0.7500 0.3407 0.2692  -0.01
B: 0.7500 0.4342 0.0526  0.00
B: 0.2500 0.3817 0.4342  0.00
B: 0.7500 0.6183 0.5658  0.00
B: 0.2500 0.0526 0.6184  0.00
B: 0.2500 0.5658 0.9474  0.00
B: 0.7500 0.9474 0.3816  0.00
U: 0.2500 0.6667 0.3333  1.12
U: 0.7500 0.3333 0.6667  1.12